# LiNiI2O8 (PBE+U, optimized geometry)
data_LiNiI2O8
_symmetry_space_group_name_H-M 'I -4 m 2'
_symmetry_Int_Tables_number 119
_symmetry_space_group_name_Hall 'I -4 -2'
_cell_length_a 6.951
_cell_length_b 6.951
_cell_length_c 6.768
_cell_angle_alpha 90.00
_cell_angle_beta 90.00
_cell_angle_gamma 90.00
loop_
_atom_site_label
_atom_site_type_symbol
_atom_site_fract_x
_atom_site_fract_y
_atom_site_fract_z
_atom_site_occupancy
Li1 Li 0.000 0.000 0.000 1
Ni1 Ni 0.000 0.500 0.750 1
I1 I 0.000 0.000 0.500 1
I2 I 0.000 0.500 0.250 1
O1 O 0.000 0.207 0.678 1
O2 O 0.000 0.301 0.080 1
# theoretical density = 4.54 g/cm3
# DOS at the Fermi energy = 2.0 states/eV/f.u.
# uncorrected energy = -4.2714 eV per atom